The following is a DFT calculation (PBE) of a relaxed structure of LiCaSi.

Output
**Energy relative to the elements, uncorrected**: -0.30 eV/atom
**SG**: Imm2

a b c (Å): 5.2569 5.9699 7.7218
angles (deg): 90.00 90.00 90.00
Sites, in units of the cell vectors:
1 Li 0.7439 0.0000 0.1638
2 Li 0.2561 0.0000 0.1638
3 Li 0.2439 0.5000 0.6638
4 Li 0.7561 0.5000 0.6638
5 Ca 0.0000 0.5000 0.2666
6 Ca 0.5000 0.0000 0.7666
7 Ca 0.0000 0.0000 0.5333
8 Ca 0.5000 0.5000 0.0333
9 Si 0.0000 0.2192 0.9060
10 Si 0.0000 0.7808 0.9060
11 Si 0.5000 0.7192 0.4060
12 Si 0.5000 0.2808 0.4060